Record 1
MnIrRhS | PBE | relaxed

Properties
The value obtained for the distance to the lowest polymorph of the same formula is 0.19 eV per formula unit. Its magnetization is 5.459 μB per cell. Its total DFT energy (no corrections) is -7.42 eV per atom. Its formation energy without anion corrections is -38 meV per atom.

Cell lengths 10.1784, 2.9148, 3.7968 Å; angles 90.00, 96.68, 90.00 degrees
Space group Cm (No. 8)
Inequivalent atoms, fractional coordinates:
Mn 0.0000 0.0000 0.0000 x2
Ir 0.2674 0.0000 0.0857 x2
Rh 0.1245 0.5000 0.5226 x2
S 0.4021 0.0000 0.6087 x2


Record 2
In2SiNi | PBE | relaxed

Properties
Its magnetization is 0.000 μB per cell. Its total DFT energy (no corrections) is -3.86 eV per atom. Its formation energy without anion corrections is 314 meV per atom.

Cell lengths 8.5156, 3.2533, 5.7220 Å; angles 90.00, 104.73, 90.00 degrees
Space group C2/m (No. 12)
Inequivalent atoms, fractional coordinates:
In 0.2399 0.0000 0.2263 x4
Si 0.0000 0.0000 0.5000 x2
Ni 0.0000 0.5000 0.0000 x2


Record 3
Ba2P2Au | PBE | relaxed

Properties
Its formation energy is -0.484 eV per atom. The value obtained for the distance to the lowest polymorph of the same formula is 1.92 eV per formula unit. Its magnetization is 0.000 μB per cell. Its total DFT energy (no corrections) is -4.07 eV per atom.

Cell lengths 3.8427, 3.8427, 19.1054 Å; angles 90.00, 90.00, 90.00 degrees
Space group I4/mmm (No. 139)
Inequivalent atoms, fractional coordinates:
Ba 0.0000 0.0000 0.1147 x4
P 0.0000 0.5000 0.2500 x4
Au 0.0000 0.0000 0.5000 x2


Record 4
Zr2BeHRh | PBE | relaxed

Properties
The value obtained for the distance to the lowest polymorph of the same formula is 0.00 eV per formula unit. Its magnetization is 0.000 μB per cell. Its total DFT energy (no corrections) is -6.65 eV per atom.

Cell lengths 4.4251, 4.4251, 3.5631 Å; angles 90.00, 90.00, 90.00 degrees
Space group P4/mmm (No. 123)
Inequivalent atoms, fractional coordinates:
Zr 0.0000 0.5000 0.0000 x2
Be 0.0000 0.0000 0.5000 x1
H 0.0000 0.0000 0.0000 x1
Rh 0.5000 0.5000 0.5000 x1


Record 5
CeTh2C | PBE | relaxed

Properties
Its formation energy is 0.004 eV per atom. The value obtained for the distance to the lowest polymorph of the same formula is 0.00 eV per formula unit. Its magnetization is 3.872 μB per cell. Its total DFT energy (no corrections) is -7.50 eV per atom.

Cell lengths 3.5515, 3.5515, 28.8404 Å; angles 90.00, 90.00, 120.00 degrees
Space group R-3m (No. 166, hexagonal axes)
Inequivalent atoms, fractional coordinates:
Ce 0.0000 0.0000 0.0000 x3
Th 0.0000 0.0000 0.1149 x6
C 0.0000 0.0000 0.5000 x3


Record 6
Ce3CdAu2 | PBE | relaxed

Properties
Its formation energy is -0.281 eV per atom. The value obtained for the distance to the lowest polymorph of the same formula is 0.95 eV per formula unit. Its magnetization is 23.458 μB per cell. Its total DFT energy (no corrections) is -4.49 eV per atom.

Cell lengths 7.7637, 7.7637, 20.4494 Å; angles 90.00, 90.00, 120.00 degrees
Space group R-3c (No. 167, hexagonal axes)
Inequivalent atoms, fractional coordinates:
Ce 0.0000 0.2874 0.2500 x18
Cd 0.0000 0.0000 0.0000 x6
Au 0.0000 0.0000 0.1454 x12


Q: What is the total DFT energy (no corrections) in the first record?
A: -7.42 eV per atom


Q: Which of these has the lowest total DFT energy (no corrections)?
A: CeTh2C


Q: Number 5 is which compound?
A: CeTh2C